(1)
First-principles (PBEsol) data for an optimized crystal structure of CaCuW2, as listed in Alexandria.

Structure (extended XYZ):
```
4
Lattice="2.6592 0.3425 0.0000 -0.0394 2.6809 0.0000 0.0000 0.0000 9.1736" Properties=species:S:1:pos:R:3 pbc="T T T"
W 0.0000 0.0000 7.2211
W 0.0000 0.0000 1.9524
Ca 1.3099 1.5117 4.5868
Cu 1.3099 1.5117 0.0000
```

Calculated values
Density = 11.9 g cm⁻³
SG = Cmmm (65)
Energy relative to the lowest polymorph listed for this composition = 0.00 kcal/mol of atoms
Crystal system = orthorhombic
Energy of formation from the pure elements = 0.72 eV/atom
Final energy = -7.804 eV/atom



(2)
First-principles (PBEsol) data for an optimized crystal structure of Ca2CuW, as listed in Alexandria.

Structure (extended XYZ):
```
4
Lattice="2.8652 0.0000 0.0000 0.0000 5.4214 0.0225 -1.4326 -2.0658 5.3468" Properties=species:S:1:pos:R:3 pbc="T T T"
W 0.0000 3.2989 2.2334
Ca 1.4326 3.1361 5.1540
Ca 1.4326 0.6016 3.0244
Cu 1.4326 2.3852 0.3380
```

Calculated values
Density = 6.5 g cm⁻³
SG = Cm (8)
Crystal system = monoclinic
Energy of formation from the pure elements = 0.65 eV/atom
Final energy = -4.957 eV/atom



(3)
First-principles (PBEsol) data for an optimized crystal structure of CaCuW2, as listed in Alexandria.

Structure (extended XYZ):
```
4
Lattice="-1.5003 -2.1521 1.8722 2.3379 0.2842 2.2002 -3.5636 5.1946 3.1155" Properties=species:S:1:pos:R:3 pbc="T T T"
W -1.1760 1.7143 1.0282
W -2.3875 3.4803 2.0873
Ca 0.4188 -0.9339 2.0362
Cu -1.3630 1.6634 3.5939
```

Calculated values
Density = 10.7 g cm⁻³
SG = P4/mmm (123)
Energy relative to the lowest polymorph listed for this composition = 4.09 kcal/mol of atoms
Crystal system = tetragonal
Energy of formation from the pure elements = 0.89 eV/atom
Final energy = -7.626 eV/atom



(4)
First-principles (PBEsol) data for an optimized crystal structure of Ca2YCu2, as listed in Alexandria.

Structure (extended XYZ):
```
10
Lattice="4.4037 0.0000 0.0000 0.0000 7.3796 0.0000 0.0000 0.0000 7.3796" Properties=species:S:1:pos:R:3 pbc="T T T"
Ca 2.2018 4.9430 6.1264
Ca 2.2018 6.1264 2.4366
Ca 2.2018 1.2532 4.9430
Ca 2.2018 2.4366 1.2532
Cu 0.0000 0.8743 2.8155
Cu 0.0000 6.5053 4.5641
Cu 0.0000 4.5641 0.8743
Cu 0.0000 2.8155 6.5053
Y 0.0000 0.0000 0.0000
Y 0.0000 3.6898 3.6898
```

Calculated values
Density = 4.1 g cm⁻³
SG = P4/mbm (127)
Energy relative to the lowest polymorph listed for this composition = 0.00 kcal/mol of atoms
Crystal system = tetragonal
Energy of formation from the pure elements = -0.05 eV/atom
Final energy = -4.005 eV/atom



(5)
First-principles (PBEsol) data for an optimized crystal structure of CaY2Cu, as listed in Alexandria.

Structure (extended XYZ):
```
4
Lattice="3.4873 0.0000 0.0000 0.0000 3.4873 0.0000 0.0000 0.0000 9.1001" Properties=species:S:1:pos:R:3 pbc="T T T"
Y 0.0000 0.0000 6.1664
Y 0.0000 0.0000 2.9337
Ca 1.7437 1.7437 0.0000
Cu 1.7437 1.7437 4.5500
```

Calculated values
Density = 4.2 g cm⁻³
SG = P4/mmm (123)
Energy relative to the lowest polymorph listed for this composition = 0.00 kcal/mol of atoms
Crystal system = tetragonal
Energy of formation from the pure elements = -0.04 eV/atom
Final energy = -5.063 eV/atom



(6)
First-principles (PBEsol) data for an optimized crystal structure of CaY2Cu, as listed in Alexandria.

Structure (extended XYZ):
```
4
Lattice="-1.3788 -2.1826 2.2914 3.1495 -0.6955 1.2295 -0.8257 6.7526 5.9351" Properties=species:S:1:pos:R:3 pbc="T T T"
Ca -0.3641 2.9775 2.6171
Y -0.0468 0.3831 0.3367
Y 0.2470 3.7813 6.3488
Cu 0.6961 0.1089 3.1209
```

Calculated values
Density = 4.3 g cm⁻³
SG = P4mm (99)
Energy relative to the lowest polymorph listed for this composition = 0.48 kcal/mol of atoms
Crystal system = tetragonal
Energy of formation from the pure elements = -0.01 eV/atom
Final energy = -5.042 eV/atom



(7)
First-principles (PBEsol) data for an optimized crystal structure of CaY2Cu2, as listed in Alexandria.

Structure (extended XYZ):
```
10
Lattice="-0.5161 3.2449 -1.7063 -7.8317 -1.0278 0.4142 -0.1107 3.6671 7.0074" Properties=species:S:1:pos:R:3 pbc="T T T"
Y -2.9555 1.8494 0.3944
Y -1.5667 3.8725 3.8217
Y -5.5030 4.0347 5.3209
Y -6.8917 2.0117 1.8936
Cu -0.9890 1.2658 2.7064
Cu -3.0660 2.8340 6.3170
Cu -6.9533 1.3735 4.7152
Cu -4.8763 -0.1948 1.1046
Ca 0.0000 0.0000 0.0000
Ca -3.9712 1.3196 3.7108
```

Calculated values
Density = 4.9 g cm⁻³
SG = P4/mbm (127)
Crystal system = tetragonal
Energy of formation from the pure elements = -0.10 eV/atom
Final energy = -4.991 eV/atom



(8)
First-principles (PBEsol) data for an optimized crystal structure of CaYCu, as listed in Alexandria.

Structure (extended XYZ):
```
3
Lattice="-3.0081 -0.5795 -1.6408 1.7212 -1.4729 -2.6353 0.1774 -4.6070 4.9821" Properties=species:S:1:pos:R:3 pbc="T T T"
Ca -1.0832 -6.3417 0.5455
Cu -0.3010 -3.6378 1.8366
Y -0.8348 -3.3393 -0.9703
```

Calculated values
Density = 4.2 g cm⁻³
SG = I4mm (107)
Crystal system = tetragonal
Energy of formation from the pure elements = -0.06 eV/atom
Final energy = -4.486 eV/atom



(9)
First-principles (PBEsol) data for an optimized crystal structure of CaY3Cu, as listed in Alexandria.

Structure (extended XYZ):
```
5
Lattice="-0.9096 -4.8932 -2.0729 4.9982 -0.0734 -2.0198 1.8049 -2.2625 4.5487" Properties=species:S:1:pos:R:3 pbc="T T T"
Y 0.9025 -1.1313 2.2743
Y -0.4548 -2.4466 -1.0365
Y 2.4991 -0.0367 -1.0099
Ca 2.9468 -3.6145 0.2280
Cu 0.0000 0.0000 0.0000
```

Calculated values
Density = 3.9 g cm⁻³
SG = Pm-3m (221)
Crystal system = cubic
Energy of formation from the pure elements = 0.12 eV/atom
Final energy = -5.265 eV/atom



(10)
First-principles (PBEsol) data for an optimized crystal structure of CaYCu4, as listed in Alexandria.

Structure (extended XYZ):
```
6
Lattice="-4.0759 -3.1383 -0.6245 -0.5149 -4.2036 2.9860 -3.7129 -0.1744 3.6105" Properties=species:S:1:pos:R:3 pbc="T T T"
Cu -3.3681 -4.9252 3.7356
Cu -5.1559 -4.3903 1.9229
Cu -4.9737 -2.9023 4.0491
Cu -3.1096 -2.8148 2.2364
Y -6.2277 -5.6372 4.4790
Ca 0.0000 0.0000 0.0000
```

Calculated values
Density = 6.5 g cm⁻³
SG = F-43m (216)
Crystal system = cubic
Energy of formation from the pure elements = -0.11 eV/atom
Final energy = -4.491 eV/atom



(11)
First-principles (PBEsol) data for an optimized crystal structure of CaY2Cu, as listed in Alexandria.

Structure (extended XYZ):
```
4
Lattice="4.5256 0.0000 0.0000 0.0000 4.5256 0.0000 -2.2628 -2.2628 5.0839" Properties=species:S:1:pos:R:3 pbc="T T T"
Ca 0.0000 0.0000 0.0000
Y 0.0000 2.2628 2.5419
Y 2.2628 0.0000 2.5419
Cu 2.2628 2.2628 0.0000
```

Calculated values
Density = 4.5 g cm⁻³
SG = I4/mmm (139)
Energy relative to the lowest polymorph listed for this composition = 7.19 kcal/mol of atoms
Crystal system = tetragonal
Energy of formation from the pure elements = 0.28 eV/atom
Final energy = -4.751 eV/atom



(12)
First-principles (PBEsol) data for an optimized crystal structure of Ca2YCu2, as listed in Alexandria.

Structure (extended XYZ):
```
5
Lattice="4.3780 0.0000 0.0000 0.0000 4.3780 0.0000 -2.1890 -2.1890 6.3004" Properties=species:S:1:pos:R:3 pbc="T T T"
Y 0.0000 0.0000 0.0000
Cu 0.0000 0.0000 5.1416
Cu 2.1890 2.1890 1.1589
Ca 0.0000 2.1890 3.1502
Ca 2.1890 0.0000 3.1502
```

Calculated values
Density = 4.1 g cm⁻³
SG = I4/mmm (139)
Energy relative to the lowest polymorph listed for this composition = 4.86 kcal/mol of atoms
Crystal system = tetragonal
Energy of formation from the pure elements = 0.16 eV/atom
Final energy = -3.794 eV/atom